Record 1
## Tb5Nd2Dy12 (GGA-PBE)

Data for a geometry-optimized Tb5Nd2Dy12 structure.

Output
As for the space group: C2/m. The offset from the most stable computed form comes out at 72 meV per atom. The density of states at the Fermi level comes out at 1.44 states/eV/atom. The formation energy is 0.1321 eV per atom. The value obtained for the density is 8.09 g/cm3.

Unit cell a=9.240 b=12.392 c=8.557 alpha=132.54 beta=90.00 gamma=111.89
Positions (direct):
Tb 0.301 0.602 0.614
Tb 0.231 0.462 0.888
Tb 0.000 0.000 0.500
Tb 0.769 0.538 0.112
Tb 0.699 0.398 0.386
Nd 0.682 0.000 0.000
Nd 0.318 0.000 0.000
Dy 0.091 0.181 0.299
Dy 0.025 0.690 0.934
Dy 0.665 0.690 0.934
Dy 0.182 0.746 0.402
Dy 0.564 0.746 0.402
Dy 0.558 0.116 0.785
Dy 0.442 0.884 0.215
Dy 0.818 0.254 0.598
Dy 0.436 0.254 0.598
Dy 0.975 0.310 0.066
Dy 0.335 0.310 0.066
Dy 0.909 0.819 0.701



Record 2
## TbNd2Dy (GGA-PBE)

Data for a geometry-optimized TbNd2Dy structure.

Output
As for the space group: Imm2. The offset from the most stable computed form comes out at 100 meV per atom. The density of states at the Fermi level comes out at 2.03 states/eV/atom. The formation energy is 0.1116 eV per atom. The value obtained for the density is 7.53 g/cm3.

Unit cell a=3.740 b=5.970 c=6.978 alpha=115.33 beta=105.54 gamma=90.00
Positions (direct):
Tb 0.243 0.743 0.487
Nd 0.994 0.994 0.989
Nd 0.757 0.257 0.515
Dy 0.505 0.505 0.009



Record 3
## TbNd3Dy2 (GGA-PBE)

Data for a geometry-optimized TbNd3Dy2 structure.

Output
As for the space group: Fddd. The offset from the most stable computed form comes out at 0 meV per atom. The density of states at the Fermi level comes out at 1.44 states/eV/atom. The formation energy is 0.0172 eV per atom. The value obtained for the density is 7.59 g/cm3.

Unit cell a=7.230 b=6.260 c=11.991 alpha=110.35 beta=90.00 gamma=125.27
Positions (direct):
Tb 0.125 0.000 0.250
Tb 0.875 0.000 0.750
Nd 0.375 0.000 0.750
Nd 0.625 0.000 0.250
Nd 0.958 0.667 0.917
Nd 0.292 0.333 0.583
Nd 0.708 0.667 0.417
Nd 0.042 0.333 0.083
Dy 0.209 0.667 0.417
Dy 0.458 0.667 0.917
Dy 0.542 0.333 0.083
Dy 0.791 0.333 0.583



Record 4
## Tb4Nd15Dy (GGA-PBE)

Data for a geometry-optimized Tb4Nd15Dy structure.

Output
As for the space group: P4/mmm. The density of states at the Fermi level comes out at 1.40 states/eV/atom. The formation energy is 0.0123 eV per atom. The value obtained for the density is 7.15 g/cm3.

Unit cell a=5.168 b=5.168 c=25.743 alpha=90.00 beta=90.00 gamma=90.00
Positions (direct):
Tb 0.000 0.000 0.200
Tb 0.000 0.000 0.400
Tb 0.000 0.000 0.600
Tb 0.000 0.000 0.800
Nd 0.500 0.500 0.000
Nd 0.500 0.500 0.200
Nd 0.500 0.500 0.400
Nd 0.500 0.500 0.600
Nd 0.500 0.500 0.800
Nd 0.500 0.000 0.100
Nd 0.500 0.000 0.300
Nd 0.500 0.000 0.500
Nd 0.500 0.000 0.700
Nd 0.500 0.000 0.900
Nd 0.000 0.500 0.100
Nd 0.000 0.500 0.300
Nd 0.000 0.500 0.500
Nd 0.000 0.500 0.700
Nd 0.000 0.500 0.900
Dy 0.000 0.000 0.000